[1]
DFT (PBE-GGA) results for a relaxed Sc5Rh3 crystal.

Its total DFT energy (no corrections) is -7.42 eV/atom. The volume comes out at 291.7 Å³ per cell. Its offset from the most stable computed form is 0.57 eV per formula unit.

The space group is Cmmm (No. 65) and the conventional cell measures 6.8605, 9.3337 and 4.5552 Å, with angles of 90.00, 90.00 and 90.00 degrees. The inequivalent atoms are Sc at (0.0000, 0.0000, 0.0000), Sc at (0.2232, 0.5000, 0.5000), Sc at (0.2500, 0.2500, 0.0000), Rh at (0.0000, 0.2287, 0.5000) and Rh at (0.0000, 0.5000, 0.0000).

***

[2]
DFT (PBE-GGA) results for a relaxed Sc3Rh crystal.

Its total DFT energy (no corrections) is -7.13 eV/atom. The volume comes out at 342.1 Å³ per cell.

The space group is Pnma (No. 62) and the conventional cell measures 6.6443, 8.5063 and 6.0521 Å, with angles of 90.00, 90.00 and 90.00 degrees. The inequivalent atoms are Sc at (0.0290, 0.2500, 0.1043), Sc at (0.1838, 0.0553, 0.6814) and Rh at (0.0987, 0.7500, 0.4706).

***

[3]
DFT (PBE-GGA) results for a relaxed Sc3Rh crystal.

Its total DFT energy (no corrections) is -7.10 eV/atom. The volume comes out at 678.5 Å³ per cell.

The space group is P4_2/n (No. 86, origin choice 2) and the conventional cell measures 10.7688, 10.7688 and 5.8508 Å, with angles of 90.00, 90.00 and 90.00 degrees. The inequivalent atoms are Sc at (0.0381, 0.5928, 0.2081), Sc at (0.1129, 0.1929, 0.0252), Sc at (0.1176, 0.6631, 0.6976) and Rh at (0.0554, 0.1850, 0.5184).

***

[4]
DFT (PBE-GGA) results for a relaxed Sc7Rh crystal.

Its total DFT energy (no corrections) is -6.52 eV/atom. The volume comes out at 702.2 Å³ per cell.

The space group is Fm-3m (No. 225) and the conventional cell measures 8.8885, 8.8885 and 8.8885 Å, with angles of 90.00, 90.00 and 90.00 degrees. The inequivalent atoms are Sc at (0.0000, 0.0000, 0.0000), Sc at (0.0000, 0.2500, 0.2500) and Rh at (0.0000, 0.0000, 0.5000).